# ZrCuHg

A geometry-optimized ZrCuHg structure (PBE, the Alexandria database).

The structure in extended XYZ format:
```
6
Lattice="-2.039 3.796 0.660 -0.621 -1.076 4.269 6.001 0.555 1.014" Properties=species:S:1:pos:R:3 pbc="T T T"
Zr 2.772 3.571 2.462
Hg 3.551 1.163 4.283
Cu 1.054 2.332 4.215
Cu 2.287 0.942 1.728
Zr 0.568 -0.297 3.481
Hg -0.210 2.112 1.660
```

Fermi-level density of states = 5.03 states/eV/cell
Energy relative to the elements = -0.0959 eV/atom
Crystal system = monoclinic
Polymorph energy (0 for the lowest one) = 0.037 eV per atom
SG = No. 11

---

# ZrCuHg2

A geometry-optimized ZrCuHg2 structure (PBE, the Alexandria database).

The structure in extended XYZ format:
```
8
Lattice="-1.208 -4.255 6.203 -3.436 -5.276 -4.289 0.249 -6.102 0.541" Properties=species:S:1:pos:R:3 pbc="T T T"
Cu -2.322 -4.766 0.957
Hg -1.675 -8.335 0.974
Hg -3.757 -12.732 2.230
Hg -2.279 -5.504 -1.553
Hg -1.080 -4.696 3.259
Zr 0.000 0.000 0.000
Zr -1.641 -7.561 3.850
Cu -2.755 -8.072 -1.395
```

Fermi-level density of states = 8.42 states/eV/cell
Energy relative to the elements = 0.2296 eV/atom
Crystal system = tetragonal
Polymorph energy (0 for the lowest one) = 0.308 eV per atom
SG = No. 122

---

Fermi-level density of states of number 1 (ZrCuHg)? 5.03 states/eV/cell

---

Repeat the second record exactly.
# ZrCuHg2

A geometry-optimized ZrCuHg2 structure (PBE, the Alexandria database).

The structure in extended XYZ format:
```
8
Lattice="-1.208 -4.255 6.203 -3.436 -5.276 -4.289 0.249 -6.102 0.541" Properties=species:S:1:pos:R:3 pbc="T T T"
Cu -2.322 -4.766 0.957
Hg -1.675 -8.335 0.974
Hg -3.757 -12.732 2.230
Hg -2.279 -5.504 -1.553
Hg -1.080 -4.696 3.259
Zr 0.000 0.000 0.000
Zr -1.641 -7.561 3.850
Cu -2.755 -8.072 -1.395
```

Fermi-level density of states = 8.42 states/eV/cell
Energy relative to the elements = 0.2296 eV/atom
Crystal system = tetragonal
Polymorph energy (0 for the lowest one) = 0.308 eV per atom
SG = No. 122

---

The lowest Fermi-level density of states belongs to which entry? ZrCuHg